VASP calculation (SCAN) on IrPdRhCl2 at its PBEsol-relaxed geometry.

## Properties
Space-group type: P4/mmm
Theoretical density: 8.1 Mg/m³
D(E_F): 3.38 states/eV/f.u.

extended XYZ file:
```
5
Lattice="-1.0258 3.5477 -2.3380 -3.5109 -2.0623 -1.5890 -2.7674 1.7406 3.8555" Properties=species:S:1:pos:R:3 pbc="T T T"
Ir -3.6521 1.6130 -0.0357
Rh 0.0000 0.0000 0.0000
Pd -1.3837 0.8703 1.9277
Cl -1.7555 -1.0312 -0.7945
Cl -0.5129 1.7739 -1.1690
```

***

VASP calculation (SCAN) on Ir2PdRuCl at its PBEsol-relaxed geometry.

## Properties
Space-group type: P4/mmm
Theoretical density: 10.5 Mg/m³
D(E_F): 5.84 states/eV/f.u.

extended XYZ file:
```
5
Lattice="-2.8293 2.9732 -1.4561 -1.9662 -3.2728 -2.8621 -3.0483 -1.2021 3.4686" Properties=species:S:1:pos:R:3 pbc="T T T"
Ru -3.9219 -0.7508 -0.4248
Ir -1.5241 -0.6010 1.7343
Ir -0.9831 -1.6364 -1.4311
Pd 0.0000 0.0000 0.0000
Cl -1.4147 1.4866 -0.7280
```

***

VASP calculation (SCAN) on SiIrPd2Cl at its PBEsol-relaxed geometry.

## Properties
Space-group type: P4/mmm
Theoretical density: 8.8 Mg/m³
D(E_F): 2.18 states/eV/f.u.

extended XYZ file:
```
5
Lattice="4.4489 0.0000 0.0000 0.0000 4.4489 0.0000 0.0000 0.0000 4.4783" Properties=species:S:1:pos:R:3 pbc="T T T"
Si 0.0000 0.0000 0.0000
Ir 2.2245 2.2245 2.2392
Pd 0.0000 2.2245 0.0000
Pd 2.2245 0.0000 0.0000
Cl 0.0000 0.0000 2.2392
```

***

VASP calculation (SCAN) on Pr6IrCl11 at its PBEsol-relaxed geometry.

## Properties
Space-group type: C2/m
Theoretical density: 5.0 Mg/m³

extended XYZ file:
```
18
Lattice="7.2732 0.0179 0.0220 -0.3897 8.1448 0.0464 -0.3897 -1.6318 7.9798" Properties=species:S:1:pos:R:3 pbc="T T T"
Pr 1.3933 -0.9941 5.6475
Pr 1.5999 1.2825 1.5804
Pr 5.1005 0.7997 7.8580
Pr 1.3933 5.7312 0.1901
Pr 4.8938 5.2484 6.4677
Pr 5.1005 7.5249 2.4007
Ir 0.0000 0.0000 0.0000
Cl 3.6366 0.0089 0.0110
Cl 4.3285 -0.2957 5.2706
Cl 0.0999 0.8601 3.9264
Cl 4.3657 2.0001 2.4648
Cl 2.1652 1.3123 7.2522
Cl 0.0999 3.6651 1.6502
Cl 6.3939 2.8658 6.3980
Cl 4.3285 5.2186 0.7959
Cl 2.1280 4.5308 5.5834
Cl 6.3939 5.6708 4.1218
Cl 2.1652 6.8266 2.7775
```

***

VASP calculation (SCAN) on ReIrCl2 at its PBEsol-relaxed geometry.

## Properties
Excess energy over the best structure of this formula in the dataset: 0.000 eV per atom
Space-group type: F-43m
Theoretical density: 12.1 Mg/m³
D(E_F): 0.51 states/eV/f.u.

extended XYZ file:
```
4
Lattice="4.4323 0.0000 0.0000 2.2162 3.8385 0.0000 2.2162 1.2795 3.6190" Properties=species:S:1:pos:R:3 pbc="T T T"
Re 2.2162 1.2795 0.9047
Ir 4.4323 2.5590 1.8095
Cl 0.0000 0.0000 0.0000
Cl 6.6485 3.8385 2.7142
```

***

VASP calculation (SCAN) on ReIrCl2 at its PBEsol-relaxed geometry.

## Properties
Excess energy over the best structure of this formula in the dataset: 0.612 eV per atom
Space-group type: I4/mmm
Theoretical density: 12.7 Mg/m³
D(E_F): 2.67 states/eV/f.u.

extended XYZ file:
```
4
Lattice="-1.6843 -2.4235 2.6364 0.5251 -3.0491 -2.4674 3.9314 2.0736 1.4477" Properties=species:S:1:pos:R:3 pbc="T T T"
Re 0.0000 0.0000 0.0000
Ir -0.5796 -2.7363 0.0845
Cl 0.8337 -1.5431 2.0843
Cl 1.9384 -1.8559 -0.4676
```

***

| no. | uncorrected formation energy (eV/atom) | total magnetic moment (μB per atom) |
| --- | --- | --- |
| 1 | 1.12 | 0.50 |
| 2 | 2.14 | 1.15 |
| 3 | 0.89 | 0.39 |
| 4 | -2.30 | 0.00 |
| 5 | 1.05 | 0.50 |
| 6 | 1.67 | 0.00 |